YTl2Au | GGA-PBE | optimized geometry

Cell lengths 3.7385, 4.9861, 5.5577 Å; angles 90.00, 96.08, 90.00 degrees
Space group P2/m (No. 10)
Unique sites:
Y: 0.0000 0.0000 0.0000 (multiplicity 1)
Tl: 0.3002 0.5000 0.7363 (multiplicity 2)
Au: 0.5000 0.0000 0.5000 (multiplicity 1)

Calculated values
The value obtained for the energy relative to the lowest polymorph listed for this composition is 0.32 eV per formula unit. For the formation energy, the calculation gives -0.251 eV/atom. Its crystal system is monoclinic.